[1]
Computed, not measured: an optimized crystal structure of CaY5Se6 at the PBE level of DFT.

Calculated values
- magnetic moment (μB per formula unit) = 0.00
- E_form (uncorrected) (meV/atom) = -1803
- SG = C2/m
- V (Å³ per atom) = 24.39

abc: 7.1022 7.1022 7.1160
angles: 99.55 99.55 120.16
Closest atoms and distances in Å follow each position.
Positions (direct):
Ca 0.0000 0.0000 0.0000  6 Se 2.89-2.90
Y 0.1661 0.8339 0.5000  6 Se 2.89-2.90
Y 0.3323 0.6677 0.0000  6 Se 2.90
Y 0.5000 0.5000 0.5000  6 Se 2.89-2.91
Y 0.6677 0.3323 0.0000  6 Se 2.90
Y 0.8339 0.1661 0.5000  6 Se 2.89-2.90
Se 0.0840 0.4168 0.2514  5 Y 2.89-2.90, 1 Ca 2.90
Se 0.2504 0.2504 0.7519  1 Ca 2.89, 5 Y 2.90-2.91
Se 0.4168 0.0840 0.2514  5 Y 2.89-2.90, 1 Ca 2.90
Se 0.5832 0.9160 0.7486  5 Y 2.89-2.90, 1 Ca 2.90
Se 0.7496 0.7496 0.2481  1 Ca 2.89, 5 Y 2.90-2.91
Se 0.9160 0.5832 0.7486  5 Y 2.89-2.90, 1 Ca 2.90

[2]
Computed, not measured: an optimized crystal structure of Nd8Ho5Tm at the PBE level of DFT.

Calculated values
- magnetic moment (μB per formula unit) = 0.00
- SG = C2
- uncorrected energy (eV/cell) = -63.1
- V (Å³ per atom) = 34.21

abc: 8.5890 8.5890 9.1120
angles: 121.65 121.65 81.76
Closest atoms and distances in Å follow each position.
Positions (direct):
Nd 0.0616 0.0616 0.2791  1 Tm 3.25, 3 Nd 3.25-3.59, 3 Ho 3.38-3.45
Nd 0.1176 0.2837 0.7694  3 Nd 3.25-3.59, 1 Ho 3.44, 1 Tm 3.60
Nd 0.3794 0.4912 0.7107  5 Ho 3.22-3.56, 1 Tm 3.28, 2 Nd 3.45-3.59
Nd 0.5088 0.6206 0.2893  5 Ho 3.22-3.56, 1 Tm 3.28, 2 Nd 3.45-3.59
Nd 0.5686 0.1219 0.9550  5 Ho 3.39-3.71, 3 Nd 3.50-3.72
Nd 0.7163 0.8824 0.2306  3 Nd 3.25-3.59, 1 Ho 3.44, 1 Tm 3.60
Nd 0.8781 0.4314 0.0450  5 Ho 3.39-3.71, 3 Nd 3.50-3.72
Nd 0.9384 0.9384 0.7209  1 Tm 3.25, 3 Nd 3.25-3.59, 3 Ho 3.38-3.45
Ho 0.2250 0.7750 0.5000  6 Nd 3.39-3.65
Ho 0.3297 0.2761 0.2368  3 Nd 3.22-3.49, 1 Ho 3.41
Ho 0.5377 0.0946 0.5370  7 Nd 3.35-3.56, 1 Ho 3.41, 1 Tm 3.59
Ho 0.7239 0.6703 0.7632  3 Nd 3.22-3.49, 1 Ho 3.41
Ho 0.9054 0.4623 0.4630  7 Nd 3.35-3.56, 1 Ho 3.41, 1 Tm 3.59
Tm 0.2226 0.7774 0.0000  6 Nd 3.25-3.60, 4 Ho 3.59-3.63